# 1
Material: CdCuP2S
Method: DFT, PBE-GGA
State: optimized geometry

Unit cell a=4.489 b=4.489 c=4.819 alpha=90.00 beta=90.00 gamma=90.00
Site moments in Bohr magnetons follow the coordinates.
Fractional positions:
P  0.000  0.500  0.000  0.11
P  0.500  0.000  0.000  0.11
S  0.000  0.000  0.500  0.06
Cu  0.000  0.000  0.000  0.02
Cd  0.500  0.500  0.500  0.00

Properties
DOS(E_F): 3.95 states/eV/cell
Space group: No. 123
Size of the total moment: 0.6 μB/f.u.
ρ: 4617 kg/m³
Final energy: -16.57 eV/cell
Distance to the lowest polymorph of the same formula: 0.0 meV per atom

# 2
Material: RbHg2F
Method: DFT, PBE-GGA
State: optimized geometry

Unit cell a=3.943 b=3.947 c=17.507 alpha=90.00 beta=96.38 gamma=90.00
Fractional positions:
Rb  0.209  0.250  0.416
Rb  0.791  0.750  0.584
Hg  0.597  0.250  0.199
Hg  0.403  0.750  0.801
Hg  0.039  0.750  0.081
Hg  0.961  0.250  0.919
F  0.711  0.750  0.421
F  0.289  0.250  0.579

Properties
Space group: No. 11
Size of the total moment: 0.0 μB/f.u.
ρ: 6201 kg/m³
Final energy: -17.12 eV/cell
Distance to the lowest polymorph of the same formula: 0.0 meV per atom

# 3
Material: ZrTaMo2
Method: DFT, PBE-GGA
State: optimized geometry

Unit cell a=8.742 b=8.742 c=8.742 alpha=20.72 beta=20.72 gamma=20.72
Fractional positions:
Mo  0.996  0.996  0.996
Mo  0.504  0.504  0.504
Ta  0.250  0.250  0.250
Zr  0.750  0.750  0.750

Properties
Formation enthalpy at 0 K: 0.247 eV/atom
DOS(E_F): 3.68 states/eV/cell
Space group: No. 166
Size of the total moment: 0.0 μB/f.u.
ρ: 10525 kg/m³
Final energy: -41.08 eV/cell
Distance to the lowest polymorph of the same formula: 320.8 meV per atom

# 4
Material: Pm2Dy6YMg
Method: DFT, PBE-GGA
State: optimized geometry

Unit cell a=6.639 b=10.998 c=10.998 alpha=126.65 beta=85.83 gamma=85.83
Fractional positions:
Pm  0.503  0.815  0.649
Pm  0.997  0.351  0.185
Pm  0.497  0.185  0.351
Pm  0.003  0.649  0.815
Dy  0.029  0.091  0.795
Dy  0.471  0.205  0.909
Dy  0.971  0.909  0.205
Dy  0.529  0.795  0.091
Dy  0.278  0.915  0.438
Dy  0.222  0.562  0.085
Dy  0.722  0.085  0.562
Dy  0.778  0.438  0.915
Dy  0.018  0.706  0.532
Dy  0.482  0.468  0.294
Dy  0.982  0.294  0.468
Dy  0.518  0.532  0.706
Y  0.250  0.992  0.008
Y  0.750  0.008  0.992
Mg  0.250  0.294  0.706
Mg  0.750  0.706  0.294

Properties
Formation enthalpy at 0 K: 0.108 eV/atom
DOS(E_F): 29.84 states/eV/cell
Space group: No. 15
Size of the total moment: 0.0 μB/f.u.
ρ: 7199 kg/m³
Final energy: -88.19 eV/cell

# 5
Material: ZnSi2Se
Method: DFT, PBE-GGA
State: optimized geometry

Unit cell a=6.007 b=6.007 c=3.648 alpha=107.09 beta=107.09 gamma=35.37
Fractional positions:
Se  0.250  0.250  0.250
Si  0.003  0.003  0.002
Si  0.497  0.497  0.498
Zn  0.750  0.750  0.750

Properties
DOS(E_F): 2.10 states/eV/cell
Space group: No. 12
Size of the total moment: 0.0 μB/f.u.
ρ: 4594 kg/m³
Final energy: -14.92 eV/cell
Distance to the lowest polymorph of the same formula: 159.0 meV per atom

# 6
Material: Pr10YEr4
Method: DFT, PBE-GGA
State: optimized geometry

Unit cell a=10.881 b=8.983 c=8.983 alpha=68.48 beta=52.72 gamma=52.72
Fractional positions:
Pr  0.250  0.500  0.500
Pr  0.714  0.348  0.892
Pr  0.938  0.108  0.348
Pr  0.394  0.892  0.652
Pr  0.954  0.652  0.108
Pr  0.286  0.652  0.108
Pr  0.750  0.500  0.500
Pr  0.046  0.348  0.892
Pr  0.606  0.108  0.348
Pr  0.062  0.892  0.652
Y  0.000  0.000  0.000
Er  0.554  0.669  0.222
Er  0.776  0.778  0.669
Er  0.224  0.222  0.331
Er  0.446  0.331  0.778

Properties
Formation enthalpy at 0 K: 0.428 eV/atom
DOS(E_F): 24.67 states/eV/cell
Space group: No. 87
Size of the total moment: 0.0 μB/f.u.
ρ: 6473 kg/m³
Final energy: -66.09 eV/cell

# 7
Material: CsMg2HgCl8
Method: DFT, PBE-GGA
State: optimized geometry

Unit cell a=7.338 b=5.602 c=9.452 alpha=110.38 beta=101.36 gamma=81.45
Fractional positions:
Cs  0.000  0.000  0.500
Mg  0.471  0.429  0.809
Mg  0.529  0.571  0.191
Hg  0.000  0.000  0.000
Cl  0.221  0.893  0.197
Cl  0.641  0.737  0.020
Cl  0.831  0.378  0.260
Cl  0.779  0.107  0.803
Cl  0.359  0.263  0.980
Cl  0.169  0.622  0.740
Cl  0.495  0.737  0.478
Cl  0.505  0.263  0.522

Properties
DOS(E_F): 6.25 states/eV/cell
Space group: No. 2
Size of the total moment: 0.0 μB/f.u.
ρ: 3108 kg/m³
Final energy: -34.73 eV/cell

# 8
Material: Cd2SbAs
Method: DFT, PBE-GGA
State: optimized geometry

Unit cell a=4.268 b=3.291 c=7.048 alpha=76.21 beta=90.00 gamma=90.00
Fractional positions:
Sb  0.500  0.250  0.250
As  0.500  0.750  0.750
Cd  0.000  0.013  0.979
Cd  0.000  0.487  0.521

Properties
DOS(E_F): 1.97 states/eV/cell
Space group: No. 10
Size of the total moment: 0.0 μB/f.u.
ρ: 7281 kg/m³
Final energy: -9.88 eV/cell
Distance to the lowest polymorph of the same formula: 146.5 meV per atom

# 9
Material: NaTi4O8
Method: DFT, PBE-GGA
State: optimized geometry

Unit cell a=2.989 b=7.420 c=7.368 alpha=84.88 beta=78.30 gamma=78.38
Site moments in Bohr magnetons follow the coordinates.
Fractional positions:
Na  0.595  0.886  0.923  0.00
Ti  0.360  0.459  0.822  0.22
Ti  0.845  0.802  0.508  0.27
Ti  0.169  0.167  0.495  0.24
Ti  0.653  0.508  0.186  0.27
O  0.158  0.373  0.310  -0.01
O  0.543  0.271  0.642  -0.01
O  0.466  0.705  0.363  -0.01
O  0.846  0.605  0.702  -0.01
O  0.843  0.347  0.968  -0.01
O  0.210  0.928  0.652  0.00
O  0.162  0.638  0.038  0.00
O  0.793  0.045  0.369  -0.01

Properties
DOS(E_F): 5.19 states/eV/cell
Space group: No. 8
Size of the total moment: 1.0 μB/f.u.
ρ: 3633 kg/m³
Final energy: -109.76 eV/cell
Distance to the lowest polymorph of the same formula: 13.7 meV per atom

# 10
Material: LiTcSb2
Method: DFT, PBE-GGA
State: optimized geometry

Unit cell a=7.816 b=7.816 c=7.816 alpha=155.77 beta=153.90 gamma=35.91
Fractional positions:
Li  0.307  0.807  0.500
Sb  0.960  0.960  0.000
Sb  0.688  0.188  0.500
Tc  0.545  0.545  0.000

Properties
DOS(E_F): 3.09 states/eV/cell
Space group: No. 44
Size of the total moment: 0.0 μB/f.u.
ρ: 6722 kg/m³
Final energy: -20.78 eV/cell
Distance to the lowest polymorph of the same formula: 108.4 meV per atom

# 11
Material: LaTbPm2Nd6
Method: DFT, PBE-GGA
State: optimized geometry

Unit cell a=9.955 b=9.034 c=9.034 alpha=118.31 beta=94.54 gamma=94.54
Fractional positions:
La  0.250  0.405  0.595
La  0.750  0.595  0.405
Tb  0.250  0.976  0.024
Tb  0.750  0.024  0.976
Pm  0.457  0.810  0.710
Pm  0.043  0.290  0.190
Pm  0.543  0.190  0.290
Pm  0.957  0.710  0.810
Nd  0.055  0.116  0.754
Nd  0.445  0.246  0.884
Nd  0.945  0.884  0.246
Nd  0.555  0.754  0.116
Nd  0.317  0.976  0.426
Nd  0.183  0.574  0.024
Nd  0.683  0.024  0.574
Nd  0.817  0.426  0.976
Nd  0.121  0.706  0.497
Nd  0.379  0.503  0.294
Nd  0.879  0.294  0.503
Nd  0.621  0.497  0.706

Properties
Formation enthalpy at 0 K: 0.113 eV/atom
DOS(E_F): 31.49 states/eV/cell
Space group: No. 15
Size of the total moment: 0.0 μB/f.u.
ρ: 6829 kg/m³
Final energy: -93.06 eV/cell